Entry 1:
Computed, not measured: crystalline ErSc7In4 at its relaxed geometry at the PBE level of DFT.

abc: 13.6613 5.2981 10.0673
angles: 90.00 124.43 90.00
Last column: nearest neighbours and their distance in Å.
Space group C2/m (No. 12)
Symmetry-distinct sites (fractional):
Er (0.0000, 0.0000, 0.0000)  2 Sc 2.65
Sc (0.0000, 0.5000, 0.0000)  2 Er 2.65, 4 In 2.84-2.95
Sc (0.0599, 0.0000, 0.3921)  3 In 2.99-3.08, 1 Sc 3.15
Sc (0.2100, 0.5000, 0.6475)  4 In 2.82-2.97
Sc (0.2153, 0.0000, 0.8739)  4 In 3.08-3.13, 4 Sc 3.15-3.41
In (0.0675, 0.5000, 0.7688)  7 Sc 2.82-3.13, 1 In 2.98
In (0.1839, 0.5000, 0.3334)  6 Sc 2.84-3.08, 1 In 2.98

magnetic moment = 0.000 μB/cell
formation energy from the elements = -63 meV/atom
ρ = 5.201 g/cm³
N(E_F) = 1.15 states/eV/atom



Entry 2:
Computed, not measured: crystalline Er6Sc2In at its relaxed geometry at the PBE level of DFT.

abc: 15.2188 11.2935 5.9649
angles: 90.00 95.69 90.00
Last column: nearest neighbours and their distance in Å.
Space group C2/c (No. 15)
Symmetry-distinct sites (fractional):
Er (0.0511, 0.1366, 0.0158)  1 In 3.18, 3 Sc 3.26-3.44, 4 Er 3.32-3.45
Er (0.1089, 0.3733, 0.3248)  2 In 3.16-3.30, 1 Sc 3.31, 5 Er 3.32-3.47
Er (0.2150, 0.3542, 0.8443)  4 Er 3.12-3.47, 3 Sc 3.25-3.29, 1 In 3.27
Sc (0.1738, 0.0999, 0.5862)  8 Er 3.25-3.55
In (0.0000, 0.3750, 0.7500)  8 Er 3.16-3.30

magnetic moment = 0.005 μB/cell
formation energy from the elements = -15 meV/atom
ρ = 7.867 g/cm³
N(E_F) = 1.16 states/eV/atom



Entry 3:
Computed, not measured: crystalline Er6Sc3In at its relaxed geometry at the PBE level of DFT.

abc: 12.3535 3.3741 13.6372
angles: 90.00 100.07 90.00
Last column: nearest neighbours and their distance in Å.
Space group P2_1/m (No. 11)
Symmetry-distinct sites (fractional):
Er (0.0082, 0.2500, 0.3117)  4 Sc 3.21-3.27, 7 Er 3.37-3.49
Er (0.1558, 0.2500, 0.8842)  4 Sc 3.20-3.39, 8 Er 3.37-3.49
Er (0.2447, 0.7500, 0.3051)  3 Sc 3.27-3.64, 2 In 3.30, 7 Er 3.35-3.61
Er (0.2757, 0.7500, 0.7154)  3 Sc 3.15-3.32, 1 In 3.17, 7 Er 3.37-3.50
Er (0.3103, 0.7500, 0.0771)  5 Sc 3.21-3.45, 5 Er 3.35-3.41, 2 In 3.50
Er (0.3801, 0.2500, 0.5270)  8 Er 3.37-3.61, 3 In 3.43-3.73, 2 Sc 3.51
Sc (0.0771, 0.2500, 0.0956)  6 Er 3.20-3.39, 4 Sc 3.37-3.40
Sc (0.1273, 0.7500, 0.5025)  7 Er 3.15-3.51, 2 Sc 3.37
Sc (0.4265, 0.2500, 0.9006)  6 Er 3.21-3.45, 4 Sc 3.37-3.43, 2 In 3.41
In (0.4668, 0.2500, 0.2782)  7 Er 3.17-3.50, 2 In 3.37, 2 Sc 3.41

magnetic moment = 0.000 μB/cell
formation energy from the elements = -1 meV/atom
ρ = 7.437 g/cm³
N(E_F) = 1.48 states/eV/atom



Entry 4:
Computed, not measured: crystalline ErSc5In4 at its relaxed geometry at the PBE level of DFT.

abc: 3.3611 3.3611 20.8578
angles: 90.00 90.00 90.00
Last column: nearest neighbours and their distance in Å.
Space group P4/mmm (No. 123)
Symmetry-distinct sites (fractional):
Er (0.0000, 0.0000, 0.0000)  8 Sc 3.36, 4 Er 3.36
Sc (0.5000, 0.5000, 0.1138)  4 In 3.10, 4 Er 3.36, 4 Sc 3.36
Sc (0.5000, 0.5000, 0.3058)  8 In 3.12, 4 Sc 3.36
Sc (0.5000, 0.5000, 0.5000)  8 In 3.12, 4 Sc 3.36
In (0.0000, 0.0000, 0.2092)  8 Sc 3.10-3.12, 4 In 3.36
In (0.0000, 0.0000, 0.4029)  8 Sc 3.12, 4 In 3.36

magnetic moment = 0.093 μB/cell
formation energy from the elements = -342 meV/atom
ρ = 5.999 g/cm³
N(E_F) = 0.77 states/eV/atom



Entry 5:
Computed, not measured: crystalline ErSc2In9 at its relaxed geometry at the PBE level of DFT.

abc: 4.5711 4.5711 13.7042
angles: 90.00 90.00 90.00
Last column: nearest neighbours and their distance in Å.
Space group P4/mmm (No. 123)
Symmetry-distinct sites (fractional):
Er (0.0000, 0.0000, 0.0000)  12 In 3.23-3.28
Sc (0.0000, 0.0000, 0.3358)  12 In 3.21-3.23
In (0.0000, 0.5000, 0.1714)  8 In 3.20-3.28, 2 Sc 3.21, 2 Er 3.28
In (0.0000, 0.5000, 0.5000)  4 Sc 3.21, 8 In 3.22-3.23
In (0.5000, 0.5000, 0.0000)  4 Er 3.23, 8 In 3.28
In (0.5000, 0.5000, 0.3349)  8 In 3.20-3.22, 4 Sc 3.23

magnetic moment = 0.000 μB/cell
formation energy from the elements = -331 meV/atom
ρ = 7.484 g/cm³
N(E_F) = 0.33 states/eV/atom



Entry 6:
Computed, not measured: crystalline Er8Sc2In at its relaxed geometry at the PBE level of DFT.

abc: 17.4213 4.8504 7.7076
angles: 90.00 105.95 90.00
Last column: nearest neighbours and their distance in Å.
Space group C2/m (No. 12)
Symmetry-distinct sites (fractional):
Er (0.0460, 0.0000, 0.2247)  1 Sc 3.36, 9 Er 3.39-3.48, 2 In 3.46
Er (0.0942, 0.5000, 0.9485)  3 Sc 3.36-3.40, 8 Er 3.38-3.58, 1 In 3.39
Er (0.1378, 0.0000, 0.6847)  3 Sc 3.37-3.43, 7 Er 3.38-3.47, 2 In 3.43
Er (0.1821, 0.5000, 0.4124)  8 Er 3.40-3.48, 1 In 3.42, 3 Sc 3.43-3.45
Sc (0.2240, 0.0000, 0.1338)  10 Er 3.36-3.45, 2 Sc 3.46
In (0.0000, 0.5000, 0.5000)  12 Er 3.39-3.46

magnetic moment = 0.000 μB/cell
formation energy from the elements = -57 meV/atom
ρ = 8.182 g/cm³
N(E_F) = 1.45 states/eV/atom



Entry 7:
Computed, not measured: crystalline Er5Sc4In4 at its relaxed geometry at the PBE level of DFT.

abc: 11.9382 11.9382 4.8423
angles: 90.00 90.00 90.00
Last column: nearest neighbours and their distance in Å.
Space group I4/m (No. 87)
Symmetry-distinct sites (fractional):
Er (0.0000, 0.0000, 0.0000)  4 In 3.12
Er (0.1030, 0.8102, 0.5000)  5 In 3.17-3.42, 1 Sc 3.44, 2 Er 3.54
Sc (0.0906, 0.4030, 0.5000)  3 In 3.00-3.08, 5 Sc 3.17-3.30
In (0.0920, 0.2442, 0.0000)  3 Sc 3.00-3.08, 4 Er 3.12-3.18

magnetic moment = 0.000 μB/cell
formation energy from the elements = -308 meV/atom
ρ = 7.100 g/cm³
N(E_F) = 0.80 states/eV/atom



Entry 8:
Computed, not measured: crystalline Er3Sc4In4 at its relaxed geometry at the PBE level of DFT.

abc: 5.0710 6.7837 16.5046
angles: 90.00 90.00 90.00
Last column: nearest neighbours and their distance in Å.
Space group Immm (No. 71)
Symmetry-distinct sites (fractional):
Er (0.0000, 0.0000, 0.0000)  6 In 3.01-3.18
Er (0.0000, 0.5000, 0.1095)  4 Sc 3.34, 6 In 3.45-3.60, 1 Er 3.61
Sc (0.0000, 0.2720, 0.3204)  4 In 2.93-2.99, 1 Sc 3.09
In (0.0000, 0.0000, 0.1824)  6 Sc 2.93-2.97, 1 Er 3.01
In (0.0000, 0.2181, 0.5000)  1 In 2.96, 2 Sc 2.99, 2 Er 3.18

magnetic moment = 0.016 μB/cell
formation energy from the elements = -263 meV/atom
ρ = 6.673 g/cm³
N(E_F) = 1.02 states/eV/atom



Entry 9:
Computed, not measured: crystalline Er6ScIn at its relaxed geometry at the PBE level of DFT.

abc: 6.4864 11.2012 6.3356
angles: 90.00 90.02 90.00
Last column: nearest neighbours and their distance in Å.
Space group C2/m (No. 12)
Symmetry-distinct sites (fractional):
Er (0.0743, 0.0000, 0.2479)  1 Sc 3.18, 1 In 3.19, 6 Er 3.29-3.34
Er (0.2154, 0.2867, 0.2479)  1 Sc 3.18, 1 In 3.20, 6 Er 3.28-3.35
Sc (0.0000, 0.5000, 0.0000)  2 In 3.17, 6 Er 3.18
In (0.0000, 0.5000, 0.5000)  2 Sc 3.17, 6 Er 3.19-3.20

magnetic moment = 0.000 μB/cell
formation energy from the elements = 18 meV/atom
ρ = 8.393 g/cm³
N(E_F) = 0.86 states/eV/atom
excess energy over the best structure of this formula in the dataset = 134.6 meV/atom



Entry 10:
Computed, not measured: crystalline Er5Sc2In2 at its relaxed geometry at the PBE level of DFT.

abc: 15.6231 10.2166 6.3152
angles: 90.00 90.00 90.00
Last column: nearest neighbours and their distance in Å.
Space group Ima2 (No. 46)
Symmetry-distinct sites (fractional):
Er (0.0540, 0.2471, 0.0000)  2 Sc 3.01-3.25, 3 Er 3.16-3.35, 2 In 3.26-3.35
Er (0.1507, 0.6868, 0.6663)  4 Er 3.10-3.42, 2 In 3.11-3.20, 2 Sc 3.14-3.35
Er (0.2500, 0.1155, 0.0165)  2 Sc 3.23-3.40, 2 In 3.33, 4 Er 3.35-3.58
Sc (0.0000, 0.0000, 0.2951)  6 Er 3.01-3.25, 2 In 3.25
Sc (0.2500, 0.0165, 0.5030)  2 In 3.00, 3 Er 3.23-3.35
In (0.0900, 0.5286, 0.2564)  1 In 2.87, 1 Sc 3.00, 2 Er 3.11-3.20

magnetic moment = 0.000 μB/cell
formation energy from the elements = -10 meV/atom
ρ = 7.616 g/cm³
N(E_F) = 1.15 states/eV/atom



Entry 11:
Computed, not measured: crystalline Er7ScIn2 at its relaxed geometry at the PBE level of DFT.

abc: 9.0354 15.4067 5.1889
angles: 90.00 90.00 90.00
Last column: nearest neighbours and their distance in Å.
Space group Cmmm (No. 65)
Symmetry-distinct sites (fractional):
Er (0.0000, 0.0000, 0.0000)  2 In 3.01
Er (0.0000, 0.2809, 0.5000)  2 In 2.91
Er (0.1809, 0.3827, 0.0000)  2 In 3.12-3.32, 4 Er 3.27-3.44
Sc (0.0000, 0.5000, 0.5000)  10 Er 3.38-3.56
In (0.0000, 0.1953, 0.0000)  5 Er 2.91-3.12

magnetic moment = 0.001 μB/cell
formation energy from the elements = 371 meV/atom
ρ = 6.646 g/cm³
N(E_F) = 1.67 states/eV/atom



Entry 12:
Computed, not measured: crystalline Er2ScIn at its relaxed geometry at the PBE level of DFT.

abc: 4.7188 4.7188 4.6928
angles: 90.00 90.00 90.00
Last column: nearest neighbours and their distance in Å.
Space group P4/mmm (No. 123)
Symmetry-distinct sites (fractional):
Er (0.0000, 0.5000, 0.0000)  4 In 3.33, 4 Sc 3.33, 4 Er 3.34
Sc (0.0000, 0.0000, 0.5000)  8 Er 3.33, 4 In 3.34
In (0.5000, 0.5000, 0.5000)  8 Er 3.33, 4 Sc 3.34

magnetic moment = 0.606 μB/cell
formation energy from the elements = -257 meV/atom
ρ = 7.855 g/cm³
N(E_F) = 1.34 states/eV/atom
excess energy over the best structure of this formula in the dataset = 0.0 meV/atom